(1)
The following is a meta-GGA SCAN calculation of a crystal of CaCr2Ag relaxed with PBEsol, from Alexandria.

```
CaCr2Ag
1.0
3.546 0.000 0.000
0.000 3.546 0.000
0.000 0.000 6.187
Ca Cr Ag
1 2 1
direct
0.000 0.000 0.000
0.500 0.500 0.352
0.500 0.500 0.648
0.000 0.000 0.500
```

E ... -18.606 eV per atom
Total moment ... 1.06 μB per formula unit
Energy relative to the lowest polymorph listed for this composition ... 0.6565 eV/atom

(2)
The following is a meta-GGA SCAN calculation of a crystal of Ca2CrAg relaxed with PBEsol, from Alexandria.

```
Ca2CrAg
1.0
3.654 0.000 0.000
-1.827 3.165 0.000
0.000 0.000 27.899
Ca Cr Ag
6 3 3
direct
0.000 0.000 0.245
0.000 0.000 0.755
0.333 0.667 0.421
0.333 0.667 0.912
0.667 0.333 0.088
0.667 0.333 0.579
0.000 0.000 0.000
0.333 0.667 0.667
0.667 0.333 0.333
0.000 0.000 0.500
0.333 0.667 0.167
0.667 0.333 0.833
```

E ... -16.966 eV per atom
Total moment ... 4.65 μB per formula unit
Energy relative to the lowest polymorph listed for this composition ... 0.2047 eV/atom

(3)
The following is a meta-GGA SCAN calculation of a crystal of CaCr2Ag relaxed with PBEsol, from Alexandria.

```
CaCr2Ag
1.0
3.709 0.000 0.000
0.000 3.709 0.000
0.000 0.000 4.707
Ca Cr Ag
1 2 1
direct
0.000 0.000 0.000
0.000 0.500 0.500
0.500 0.000 0.500
0.500 0.500 0.000
```

E ... -18.416 eV per atom
Total moment ... 0.00 μB per formula unit
Energy relative to the lowest polymorph listed for this composition ... 0.8467 eV/atom

(4)
The following is a meta-GGA SCAN calculation of a crystal of CaCr2Ag relaxed with PBEsol, from Alexandria.

```
CaCr2Ag
1.0
9.939 0.000 0.000
0.000 2.984 0.000
-1.230 0.000 5.003
Ca Cr Ag
2 4 2
direct
0.000 0.000 0.000
0.500 0.500 0.000
0.230 0.000 0.628
0.270 0.500 0.372
0.730 0.500 0.628
0.770 0.000 0.372
0.000 0.500 0.500
0.500 0.000 0.500
```

E ... -18.717 eV per atom
Total moment ... 0.00 μB per formula unit
Energy relative to the lowest polymorph listed for this composition ... 0.5454 eV/atom

(5)
The following is a meta-GGA SCAN calculation of a crystal of Ca2CrAg relaxed with PBEsol, from Alexandria.

```
Ca2CrAg
1.0
3.590 0.000 0.000
0.000 3.590 0.000
0.000 0.000 8.088
Ca Cr Ag
2 1 1
direct
0.000 0.000 0.000
0.500 0.500 0.371
0.000 0.000 0.620
0.500 0.500 0.764
```

E ... -17.170 eV per atom
Total moment ... 4.67 μB per formula unit
Energy relative to the lowest polymorph listed for this composition ... 0.0000 eV/atom

(6)
The following is a meta-GGA SCAN calculation of a crystal of CsCaAg3 relaxed with PBEsol, from Alexandria.

```
CsCaAg3
1.0
5.786 0.000 0.000
0.000 5.786 0.000
0.000 0.000 5.786
Cs Ca Ag
1 1 3
direct
0.000 0.000 0.000
0.500 0.500 0.500
0.000 0.000 0.500
0.000 0.500 0.000
0.500 0.000 0.000
```

E ... -27.270 eV per atom
Total moment ... 0.00 μB per formula unit

(7)
The following is a meta-GGA SCAN calculation of a crystal of Ca2Cu2Ag relaxed with PBEsol, from Alexandria.

```
Ca2Cu2Ag
1.0
7.190 0.000 0.000
0.000 7.190 0.000
0.000 0.000 3.986
Ca Cu Ag
4 4 2
direct
0.179 0.321 0.000
0.321 0.821 0.000
0.679 0.179 0.000
0.821 0.679 0.000
0.119 0.619 0.500
0.381 0.119 0.500
0.619 0.881 0.500
0.881 0.381 0.500
0.000 0.000 0.500
0.500 0.500 0.500
```

E ... -16.345 eV per atom
Total moment ... 0.00 μB per formula unit

(8)
The following is a meta-GGA SCAN calculation of a crystal of CaCuAg relaxed with PBEsol, from Alexandria.

```
CaCuAg
1.0
6.483 0.000 0.000
0.000 6.483 0.000
0.000 0.000 6.483
Ca Cu Ag
4 4 4
direct
0.000 0.000 0.000
0.000 0.500 0.500
0.500 0.000 0.500
0.500 0.500 0.000
0.000 0.000 0.500
0.000 0.500 0.000
0.500 0.000 0.000
0.500 0.500 0.500
0.250 0.250 0.750
0.250 0.750 0.250
0.750 0.250 0.250
0.750 0.750 0.750
```

E ... -18.645 eV per atom
Total moment ... 0.00 μB per formula unit
Energy relative to the lowest polymorph listed for this composition ... 0.2524 eV/atom

(9)
The following is a meta-GGA SCAN calculation of a crystal of CaCuAg relaxed with PBEsol, from Alexandria.

```
CaCuAg
1.0
4.411 0.000 0.000
-2.206 3.820 0.000
0.000 0.000 3.684
Ca Cu Ag
1 1 1
direct
0.000 0.000 0.000
0.333 0.667 0.500
0.667 0.333 0.500
```

E ... -18.897 eV per atom
Total moment ... 0.00 μB per formula unit
Energy relative to the lowest polymorph listed for this composition ... 0.0000 eV/atom

(10)
The following is a meta-GGA SCAN calculation of a crystal of Ca3CuAg relaxed with PBEsol, from Alexandria.

```
Ca3CuAg
1.0
5.560 0.000 0.000
0.000 5.560 0.000
0.000 0.000 5.560
Ca Cu Ag
3 1 1
direct
0.000 0.000 0.500
0.000 0.500 0.000
0.500 0.000 0.000
0.500 0.500 0.500
0.000 0.000 0.000
```

E ... -14.833 eV per atom
Total moment ... 0.00 μB per formula unit

(11)
The following is a meta-GGA SCAN calculation of a crystal of CaCuAg2Te relaxed with PBEsol, from Alexandria.

```
CaCuAg2Te
1.0
4.739 0.000 0.000
0.000 4.739 0.000
0.000 0.000 5.255
Ca Cu Ag Te
1 1 2 1
direct
0.000 0.000 0.000
0.000 0.000 0.500
0.000 0.500 0.500
0.500 0.000 0.500
0.500 0.500 0.000
```

E ... -24.979 eV per atom
Formation energy without anion corrections ... -0.010 eV/atom
Total moment ... 0.00 μB per formula unit

(12)
The following is a meta-GGA SCAN calculation of a crystal of Ca3AgF relaxed with PBEsol, from Alexandria.

```
Ca3AgF
1.0
4.888 0.000 0.000
0.000 4.888 0.000
0.000 0.000 4.888
Ca Ag F
3 1 1
direct
0.000 0.000 0.500
0.000 0.500 0.000
0.500 0.000 0.000
0.500 0.500 0.500
0.000 0.000 0.000
```

E ... -13.971 eV per atom
Formation energy without anion corrections ... -1.192 eV/atom
Total moment ... 0.00 μB per formula unit

(13)
The following is a meta-GGA SCAN calculation of a crystal of Ca3Hf3AgF20 relaxed with PBEsol, from Alexandria.

```
Ca3Hf3AgF20
1.0
10.542 0.000 0.000
-5.271 9.130 0.000
0.000 0.000 8.389
Ca Hf Ag F
6 6 2 40
direct
0.164 0.731 0.250
0.269 0.433 0.250
0.433 0.164 0.750
0.567 0.836 0.250
0.731 0.567 0.750
0.836 0.269 0.750
0.139 0.723 0.750
0.277 0.416 0.750
0.416 0.139 0.250
0.584 0.861 0.750
0.723 0.584 0.250
0.861 0.277 0.250
0.000 0.000 0.250
0.000 0.000 0.750
0.000 0.000 0.000
0.000 0.000 0.500
0.032 0.233 0.250
0.058 0.283 0.750
0.058 0.471 0.250
0.145 0.719 0.515
0.145 0.719 0.985
0.185 0.551 0.750
0.201 0.968 0.250
0.226 0.942 0.750
0.233 0.201 0.750
0.281 0.426 0.515
0.281 0.426 0.985
0.283 0.226 0.250
0.333 0.667 0.250
0.366 0.815 0.750
0.412 0.942 0.250
0.426 0.145 0.015
0.426 0.145 0.485
0.449 0.634 0.750
0.471 0.412 0.750
0.529 0.588 0.250
0.551 0.366 0.250
0.574 0.855 0.515
0.574 0.855 0.985
0.588 0.058 0.750
0.634 0.185 0.250
0.667 0.333 0.750
0.717 0.774 0.750
0.719 0.574 0.015
0.719 0.574 0.485
0.767 0.799 0.250
0.774 0.058 0.250
0.799 0.032 0.750
0.815 0.449 0.250
0.855 0.281 0.015
0.855 0.281 0.485
0.942 0.529 0.750
0.942 0.717 0.250
0.968 0.767 0.750
```

E ... -15.616 eV per atom
Formation energy without anion corrections ... -3.794 eV/atom
Total moment ... 0.00 μB per formula unit

(14)
The following is a meta-GGA SCAN calculation of a crystal of CaAgSn2F relaxed with PBEsol, from Alexandria.

```
CaAgSn2F
1.0
5.855 0.000 0.000
0.000 5.855 0.000
0.000 0.000 5.205
Ca Ag Sn F
1 1 2 1
direct
0.000 0.000 0.000
0.000 0.000 0.500
0.000 0.500 0.000
0.500 0.000 0.000
0.500 0.500 0.500
```

E ... -22.630 eV per atom
Formation energy without anion corrections ... 0.652 eV/atom
Total moment ... 0.90 μB per formula unit

(15)
The following is a meta-GGA SCAN calculation of a crystal of Ca2FeAg relaxed with PBEsol, from Alexandria.

```
Ca2FeAg
1.0
6.988 0.000 0.000
0.000 6.988 0.000
0.000 0.000 6.988
Ca Fe Ag
8 4 4
direct
0.000 0.000 0.000
0.000 0.500 0.500
0.250 0.250 0.250
0.250 0.750 0.750
0.500 0.000 0.500
0.500 0.500 0.000
0.750 0.250 0.750
0.750 0.750 0.250
0.250 0.250 0.750
0.250 0.750 0.250
0.750 0.250 0.250
0.750 0.750 0.750
0.000 0.000 0.500
0.000 0.500 0.000
0.500 0.000 0.000
0.500 0.500 0.500
```

E ... -16.888 eV per atom
Total moment ... 3.85 μB per formula unit
Energy relative to the lowest polymorph listed for this composition ... 0.1117 eV/atom

(16)
The following is a meta-GGA SCAN calculation of a crystal of Ca2FeAg relaxed with PBEsol, from Alexandria.

```
Ca2FeAg
1.0
3.491 0.000 0.000
0.000 3.491 0.000
0.000 0.000 7.344
Ca Fe Ag
2 1 1
direct
0.000 0.000 0.240
0.000 0.000 0.760
0.500 0.500 0.000
0.500 0.500 0.500
```

E ... -16.999 eV per atom
Total moment ... 2.50 μB per formula unit
Energy relative to the lowest polymorph listed for this composition ... 0.0000 eV/atom

(17)
The following is a meta-GGA SCAN calculation of a crystal of CaLaFeAgO6 relaxed with PBEsol, from Alexandria.

```
CaLaFeAgO6
1.0
5.473 0.000 0.000
0.000 5.781 0.000
-5.444 0.000 7.548
Ca La Fe Ag O
2 2 2 2 12
direct
0.000 0.182 0.000
0.000 0.818 0.500
0.468 0.311 0.500
0.468 0.689 0.000
0.732 0.248 0.249
0.732 0.752 0.749
0.234 0.248 0.751
0.234 0.752 0.251
0.051 0.074 0.292
0.051 0.926 0.792
0.408 0.421 0.203
0.408 0.579 0.703
0.505 0.020 0.696
0.505 0.980 0.196
0.601 0.284 0.013
0.601 0.716 0.513
0.876 0.210 0.486
0.876 0.790 0.986
0.956 0.476 0.805
0.956 0.524 0.305
```

E ... -16.107 eV per atom
Formation energy without anion corrections ... -2.142 eV/atom
Total moment ... 3.73 μB per formula unit

(18)
The following is a meta-GGA SCAN calculation of a crystal of Ca2GaAg relaxed with PBEsol, from Alexandria.

```
Ca2GaAg
1.0
4.524 0.000 0.000
0.000 4.059 0.000
0.000 0.000 11.128
Ca Ga Ag
4 2 2
direct
0.000 0.000 0.000
0.000 0.500 0.500
0.500 0.000 0.291
0.500 0.500 0.791
0.000 0.000 0.713
0.000 0.500 0.213
0.500 0.000 0.583
0.500 0.500 0.083
```

E ... -17.168 eV per atom
Total moment ... 0.00 μB per formula unit

(19)
The following is a meta-GGA SCAN calculation of a crystal of Ca2Ga7Ag relaxed with PBEsol, from Alexandria.

```
Ca2Ga7Ag
1.0
4.212 0.000 0.000
0.000 4.212 0.000
0.000 0.000 10.904
Ca Ga Ag
2 7 1
direct
0.000 0.500 0.249
0.500 0.000 0.751
0.000 0.000 0.000
0.000 0.000 0.500
0.000 0.500 0.638
0.000 0.500 0.862
0.500 0.000 0.138
0.500 0.000 0.362
0.500 0.500 0.500
0.500 0.500 0.000
```

E ... -16.953 eV per atom
Total moment ... 0.00 μB per formula unit

(20)
The following is a meta-GGA SCAN calculation of a crystal of Ca2GaAgW relaxed with PBEsol, from Alexandria.

```
Ca2GaAgW
1.0
5.434 0.000 0.000
0.000 5.434 0.000
0.000 0.000 4.693
Ca Ga Ag W
2 1 1 1
direct
0.000 0.500 0.000
0.500 0.000 0.000
0.000 0.000 0.500
0.000 0.000 0.000
0.500 0.500 0.500
```

E ... -26.344 eV per atom
Total moment ... 4.23 μB per formula unit